1.
# SrTaHg2 PBE-GGA optimized geometry
data_SrTaHg2
_chemical_formula_sum 'Sr4 Ta4 Hg8'
_space_group_name_H-M_alt 'F -4 3 m'
_space_group_IT_number 216
_space_group_name_Hall 'F -4 2 3'
_cell_length_a 7.3741
_cell_length_b 7.3741
_cell_length_c 7.3741
_cell_angle_alpha 90.00
_cell_angle_beta 90.00
_cell_angle_gamma 90.00
loop_
_atom_site_label
_atom_site_type_symbol
_atom_site_fract_x
_atom_site_fract_y
_atom_site_fract_z
Sr1 Sr 0.0000 0.0000 0.0000
Ta1 Ta 0.2500 0.2500 0.7500
Hg1 Hg 0.0000 0.0000 0.5000
Hg2 Hg 0.2500 0.2500 0.2500
# Electronic total energy   -0.103 hartree per atom



2.
# Na2NdHg7 PBE-GGA optimized geometry
data_Na2NdHg7
_chemical_formula_sum 'Na2 Nd1 Hg7'
_space_group_name_H-M_alt 'P 3 m 1'
_space_group_IT_number 156
_space_group_name_Hall 'P 3 -2"'
_cell_length_a 5.2045
_cell_length_b 5.2045
_cell_length_c 11.7595
_cell_angle_alpha 90.00
_cell_angle_beta 90.00
_cell_angle_gamma 120.00
loop_
_atom_site_label
_atom_site_type_symbol
_atom_site_fract_x
_atom_site_fract_y
_atom_site_fract_z
Na1 Na 0.0000 0.0000 0.0000
Na2 Na 0.3333 0.6667 0.5981
Nd1 Nd 0.6667 0.3333 0.3637
Hg1 Hg 0.0000 0.0000 0.2509
Hg2 Hg 0.0000 0.0000 0.5021
Hg3 Hg 0.0000 0.0000 0.7513
Hg4 Hg 0.3333 0.6667 0.2696
Hg5 Hg 0.3333 0.6667 0.8936
Hg6 Hg 0.6667 0.3333 0.0871
Hg7 Hg 0.6667 0.3333 0.6443
# Electronic total energy   -0.043 hartree per atom